1.
VASP calculation (PBE) on a geometry-optimized CdHgPb2 structure.

## Properties
For the energy of formation from the pure elements, the calculation gives 0.0225 eV/atom. The total energy is -8.5 eV for the cell shown. The calculated volume comes out at 27.77 Å³ per atom. Its relative energy among the computed polymorphs is 0.000 eV/atom.

Unit cell a=3.572 b=3.572 c=8.704 alpha=90.00 beta=90.00 gamma=90.00
Element x y z (fractional)
Cd (0.000, 0.000, 0.000)
Hg (0.500, 0.500, 0.209)
Pb (0.000, 0.000, 0.462)
Pb (0.500, 0.500, 0.751)

---

2.
VASP calculation (PBE) on a geometry-optimized Cd4Hg4Pb structure.

## Properties
For the energy of formation from the pure elements, the calculation gives 0.0944 eV/atom. The total energy is -15.5 eV for the cell shown. The calculated volume comes out at 27.86 Å³ per atom. Its relative energy among the computed polymorphs is 0.067 eV/atom.

Unit cell a=8.052 b=8.052 c=7.734 alpha=90.00 beta=90.00 gamma=90.00
Element x y z (fractional)
Cd (0.056, 0.250, 0.006)
Cd (0.250, 0.056, 0.506)
Cd (0.250, 0.444, 0.506)
Cd (0.444, 0.250, 0.006)
Cd (0.556, 0.750, 0.994)
Cd (0.750, 0.556, 0.494)
Cd (0.750, 0.944, 0.494)
Cd (0.944, 0.750, 0.994)
Hg (0.034, 0.750, 0.618)
Hg (0.250, 0.534, 0.882)
Hg (0.250, 0.966, 0.882)
Hg (0.466, 0.750, 0.618)
Hg (0.534, 0.250, 0.382)
Hg (0.750, 0.034, 0.118)
Hg (0.750, 0.466, 0.118)
Hg (0.966, 0.250, 0.382)
Pb (0.250, 0.750, 0.250)
Pb (0.750, 0.250, 0.750)

---

3.
VASP calculation (PBE) on a geometry-optimized CdHg12Pb16 structure.

## Properties
For the energy of formation from the pure elements, the calculation gives 0.0355 eV/atom. The total energy is -62.8 eV for the cell shown. The calculated volume comes out at 28.66 Å³ per atom.

Unit cell a=10.394 b=10.394 c=9.963 alpha=108.80 beta=108.80 gamma=110.55
Element x y z (fractional)
Cd (0.000, 0.000, 0.000)
Hg (0.095, 0.280, 0.321)
Hg (0.111, 0.930, 0.739)
Hg (0.124, 0.482, 0.922)
Hg (0.280, 0.095, 0.321)
Hg (0.297, 0.935, 0.537)
Hg (0.472, 0.472, 0.543)
Hg (0.482, 0.124, 0.922)
Hg (0.491, 0.669, 0.080)
Hg (0.669, 0.491, 0.080)
Hg (0.708, 0.708, 0.906)
Hg (0.930, 0.111, 0.739)
Hg (0.935, 0.297, 0.537)
Pb (0.021, 0.712, 0.130)
Pb (0.287, 0.620, 0.695)
Pb (0.292, 0.292, 0.712)
Pb (0.295, 0.613, 0.329)
Pb (0.310, 0.876, 0.032)
Pb (0.315, 0.315, 0.082)
Pb (0.594, 0.978, 0.412)
Pb (0.604, 0.910, 0.731)
Pb (0.613, 0.295, 0.329)
Pb (0.620, 0.287, 0.695)
Pb (0.684, 0.684, 0.439)
Pb (0.712, 0.021, 0.130)
Pb (0.876, 0.310, 0.032)
Pb (0.910, 0.604, 0.731)
Pb (0.950, 0.950, 0.394)
Pb (0.978, 0.594, 0.412)

---

4.
VASP calculation (PBE) on a geometry-optimized Cd2HgPb6 structure.

## Properties
For the energy of formation from the pure elements, the calculation gives 0.0556 eV/atom. The total energy is -23.9 eV for the cell shown. The calculated volume comes out at 29.85 Å³ per atom.

Unit cell a=3.626 b=3.626 c=23.596 alpha=90.00 beta=90.00 gamma=120.00
Element x y z (fractional)
Cd (0.000, 0.000, 0.170)
Cd (0.000, 0.000, 0.830)
Hg (0.667, 0.333, 0.500)
Pb (0.000, 0.000, 0.393)
Pb (0.000, 0.000, 0.607)
Pb (0.667, 0.333, 0.068)
Pb (0.667, 0.333, 0.275)
Pb (0.667, 0.333, 0.725)
Pb (0.667, 0.333, 0.932)

---

5.
VASP calculation (PBE) on a geometry-optimized Cd2Hg6Pb5 structure.

## Properties
For the energy of formation from the pure elements, the calculation gives 0.3424 eV/atom. The total energy is -17.7 eV for the cell shown. The calculated volume comes out at 36.58 Å³ per atom.

Unit cell a=8.833 b=8.833 c=8.833 alpha=58.95 beta=58.95 gamma=58.95
Element x y z (fractional)
Cd (0.127, 0.127, 0.127)
Cd (0.873, 0.873, 0.873)
Hg (0.168, 0.500, 0.832)
Hg (0.168, 0.832, 0.500)
Hg (0.500, 0.168, 0.832)
Hg (0.500, 0.832, 0.168)
Hg (0.832, 0.168, 0.500)
Hg (0.832, 0.500, 0.168)
Pb (0.000, 0.000, 0.000)
Pb (0.265, 0.265, 0.265)
Pb (0.422, 0.422, 0.422)
Pb (0.578, 0.578, 0.578)
Pb (0.735, 0.735, 0.735)

---

6.
VASP calculation (PBE) on a geometry-optimized Cd5Hg12Pb structure.

## Properties
For the energy of formation from the pure elements, the calculation gives 0.0324 eV/atom. The total energy is -11.3 eV for the cell shown. The calculated volume comes out at 25.79 Å³ per atom.

Unit cell a=6.229 b=6.229 c=13.906 alpha=92.81 beta=92.81 gamma=120.15
Element x y z (fractional)
Cd (0.000, 0.000, 0.000)
Cd (0.157, 0.843, 0.500)
Cd (0.347, 0.653, 0.000)
Cd (0.653, 0.347, 0.000)
Cd (0.843, 0.157, 0.500)
Hg (0.061, 0.715, 0.157)
Hg (0.092, 0.454, 0.333)
Hg (0.206, 0.206, 0.677)
Hg (0.285, 0.939, 0.843)
Hg (0.375, 0.375, 0.174)
Hg (0.454, 0.092, 0.333)
Hg (0.546, 0.908, 0.667)
Hg (0.625, 0.625, 0.826)
Hg (0.715, 0.061, 0.157)
Hg (0.794, 0.794, 0.323)
Hg (0.908, 0.546, 0.667)
Hg (0.939, 0.285, 0.843)
Pb (0.500, 0.500, 0.500)

---

7.
VASP calculation (PBE) on a geometry-optimized Cd3Hg8Pb2 structure.

## Properties
For the energy of formation from the pure elements, the calculation gives 0.0623 eV/atom. The total energy is -11.8 eV for the cell shown. The calculated volume comes out at 28.37 Å³ per atom. Its relative energy among the computed polymorphs is 0.024 eV/atom.

Unit cell a=8.703 b=8.703 c=6.123 alpha=90.97 beta=90.97 gamma=52.69
Element x y z (fractional)
Cd (0.000, 0.000, 0.000)
Cd (0.195, 0.805, 0.500)
Cd (0.805, 0.195, 0.500)
Hg (0.177, 0.177, 0.570)
Hg (0.211, 0.591, 0.904)
Hg (0.377, 0.377, 0.436)
Hg (0.409, 0.789, 0.096)
Hg (0.591, 0.211, 0.904)
Hg (0.623, 0.623, 0.564)
Hg (0.789, 0.409, 0.096)
Hg (0.823, 0.823, 0.430)
Pb (0.232, 0.232, 0.063)
Pb (0.768, 0.768, 0.937)

---

8.
VASP calculation (PBE) on a geometry-optimized CdHg6Pb2 structure.

## Properties
For the energy of formation from the pure elements, the calculation gives 0.0406 eV/atom. The total energy is -9.8 eV for the cell shown. The calculated volume comes out at 27.36 Å³ per atom. Its relative energy among the computed polymorphs is 0.000 eV/atom.

Unit cell a=9.420 b=9.420 c=3.323 alpha=94.28 beta=94.28 gamma=56.94
Element x y z (fractional)
Cd (0.000, 0.000, 0.000)
Hg (0.005, 0.663, 0.915)
Hg (0.307, 0.693, 0.500)
Hg (0.337, 0.995, 0.085)
Hg (0.663, 0.005, 0.915)
Hg (0.693, 0.307, 0.500)
Hg (0.995, 0.337, 0.085)
Pb (0.335, 0.335, 0.468)
Pb (0.665, 0.665, 0.532)

---

9.
VASP calculation (PBE) on a geometry-optimized CdHgPb2 structure.

## Properties
For the energy of formation from the pure elements, the calculation gives 0.0393 eV/atom. The total energy is -8.5 eV for the cell shown. The calculated volume comes out at 28.47 Å³ per atom. Its relative energy among the computed polymorphs is 0.017 eV/atom.

Unit cell a=3.369 b=3.369 c=11.015 alpha=90.00 beta=90.00 gamma=114.34
Element x y z (fractional)
Cd (0.000, 0.000, 0.000)
Hg (0.000, 0.000, 0.500)
Pb (0.500, 0.500, 0.244)
Pb (0.500, 0.500, 0.756)

---

10.
VASP calculation (PBE) on a geometry-optimized CdHgPb4 structure.

## Properties
For the energy of formation from the pure elements, the calculation gives 0.0605 eV/atom. The total energy is -31.4 eV for the cell shown. The calculated volume comes out at 29.94 Å³ per atom. Its relative energy among the computed polymorphs is 0.000 eV/atom.

Unit cell a=8.507 b=8.507 c=5.827 alpha=100.53 beta=100.53 gamma=115.03
Element x y z (fractional)
Cd (0.007, 0.993, 0.750)
Cd (0.993, 0.007, 0.250)
Hg (0.392, 0.608, 0.750)
Hg (0.608, 0.392, 0.250)
Pb (0.077, 0.694, 0.426)
Pb (0.207, 0.389, 0.143)
Pb (0.306, 0.923, 0.074)
Pb (0.389, 0.207, 0.643)
Pb (0.611, 0.793, 0.357)
Pb (0.694, 0.077, 0.926)
Pb (0.793, 0.611, 0.857)
Pb (0.923, 0.306, 0.574)

---

11.
VASP calculation (PBE) on a geometry-optimized Cd2Hg5Pb3 structure.

## Properties
For the energy of formation from the pure elements, the calculation gives 0.0617 eV/atom. The total energy is -27.7 eV for the cell shown. The calculated volume comes out at 27.28 Å³ per atom.

Unit cell a=10.821 b=10.821 c=4.659 alpha=90.00 beta=90.00 gamma=90.00
Element x y z (fractional)
Cd (0.136, 0.364, 0.000)
Cd (0.364, 0.864, 0.000)
Cd (0.636, 0.136, 0.000)
Cd (0.864, 0.636, 0.000)
Hg (0.000, 0.500, 0.500)
Hg (0.097, 0.187, 0.500)
Hg (0.187, 0.903, 0.500)
Hg (0.313, 0.403, 0.500)
Hg (0.403, 0.687, 0.500)
Hg (0.500, 0.000, 0.500)
Hg (0.597, 0.313, 0.500)
Hg (0.687, 0.597, 0.500)
Hg (0.813, 0.097, 0.500)
Hg (0.903, 0.813, 0.500)
Pb (0.000, 0.000, 0.000)
Pb (0.158, 0.658, 0.000)
Pb (0.342, 0.158, 0.000)
Pb (0.500, 0.500, 0.000)
Pb (0.658, 0.842, 0.000)
Pb (0.842, 0.342, 0.000)

---

12.
VASP calculation (PBE) on a geometry-optimized CdHg3Pb6 structure.

## Properties
For the energy of formation from the pure elements, the calculation gives 0.0543 eV/atom. The total energy is -47.1 eV for the cell shown. The calculated volume comes out at 29.94 Å³ per atom. Its relative energy among the computed polymorphs is 0.019 eV/atom.

Unit cell a=9.982 b=5.416 c=11.522 alpha=90.00 beta=105.98 gamma=90.00
Element x y z (fractional)
Cd (0.170, 0.250, 0.150)
Cd (0.830, 0.750, 0.850)
Hg (0.013, 0.750, 0.688)
Hg (0.316, 0.750, 0.602)
Hg (0.358, 0.250, 0.824)
Hg (0.642, 0.750, 0.176)
Hg (0.684, 0.250, 0.398)
Hg (0.987, 0.250, 0.312)
Pb (0.015, 0.250, 0.863)
Pb (0.109, 0.250, 0.591)
Pb (0.234, 0.750, 0.969)
Pb (0.353, 0.750, 0.271)
Pb (0.373, 0.250, 0.453)
Pb (0.463, 0.250, 0.113)
Pb (0.537, 0.750, 0.887)
Pb (0.627, 0.750, 0.547)
Pb (0.647, 0.250, 0.729)
Pb (0.766, 0.250, 0.031)
Pb (0.891, 0.750, 0.409)
Pb (0.985, 0.750, 0.137)

---

13.
VASP calculation (PBE) on a geometry-optimized Cd3HgPb4 structure.

## Properties
For the energy of formation from the pure elements, the calculation gives 0.0351 eV/atom. The total energy is -17.6 eV for the cell shown. The calculated volume comes out at 27.88 Å³ per atom.

Unit cell a=3.530 b=5.108 c=12.372 alpha=90.00 beta=90.00 gamma=90.00
Element x y z (fractional)
Cd (0.000, 0.000, 0.000)
Cd (0.000, 0.500, 0.136)
Cd (0.500, 0.000, 0.499)
Hg (0.500, 0.500, 0.636)
Pb (0.000, 0.000, 0.740)
Pb (0.000, 0.500, 0.395)
Pb (0.500, 0.000, 0.236)
Pb (0.500, 0.500, 0.899)

---

14.
VASP calculation (PBE) on a geometry-optimized Cd6Hg6Pb structure.

## Properties
For the energy of formation from the pure elements, the calculation gives 0.0415 eV/atom. The total energy is -10.5 eV for the cell shown. The calculated volume comes out at 24.97 Å³ per atom.

Unit cell a=7.931 b=7.931 c=7.931 alpha=135.01 beta=102.57 gamma=94.30
Element x y z (fractional)
Cd (0.000, 0.000, 0.500)
Cd (0.000, 0.500, 0.000)
Cd (0.246, 0.000, 0.246)
Cd (0.500, 0.000, 0.000)
Cd (0.500, 0.500, 0.500)
Cd (0.754, 0.000, 0.754)
Hg (0.150, 0.500, 0.650)
Hg (0.169, 0.169, 0.000)
Hg (0.339, 0.839, 0.500)
Hg (0.661, 0.161, 0.500)
Hg (0.831, 0.831, 0.000)
Hg (0.850, 0.500, 0.350)
Pb (0.500, 0.500, 0.000)

---

15.
VASP calculation (PBE) on a geometry-optimized Cd12Hg7Pb structure.

## Properties
For the energy of formation from the pure elements, the calculation gives 0.0440 eV/atom. The total energy is -15.9 eV for the cell shown. The calculated volume comes out at 25.28 Å³ per atom. Its relative energy among the computed polymorphs is 0.007 eV/atom.

Unit cell a=8.869 b=8.869 c=8.869 alpha=110.95 beta=110.95 gamma=110.95
Element x y z (fractional)
Cd (0.112, 0.345, 0.816)
Cd (0.184, 0.888, 0.655)
Cd (0.185, 0.508, 0.575)
Cd (0.345, 0.816, 0.112)
Cd (0.425, 0.815, 0.492)
Cd (0.492, 0.425, 0.815)
Cd (0.508, 0.575, 0.185)
Cd (0.575, 0.185, 0.508)
Cd (0.655, 0.184, 0.888)
Cd (0.815, 0.492, 0.425)
Cd (0.816, 0.112, 0.345)
Cd (0.888, 0.655, 0.184)
Hg (0.079, 0.419, 0.166)
Hg (0.166, 0.079, 0.419)
Hg (0.419, 0.166, 0.079)
Hg (0.500, 0.500, 0.500)
Hg (0.581, 0.834, 0.921)
Hg (0.834, 0.921, 0.581)
Hg (0.921, 0.581, 0.834)
Pb (0.000, 0.000, 0.000)

---

16.
VASP calculation (PBE) on a geometry-optimized Cd3Hg12Pb5 structure.

## Properties
For the energy of formation from the pure elements, the calculation gives 0.1693 eV/atom. The total energy is -86.1 eV for the cell shown. The calculated volume comes out at 33.00 Å³ per atom.

Unit cell a=15.080 b=15.080 c=15.080 alpha=109.47 beta=109.47 gamma=109.47
Element x y z (fractional)
Cd (0.125, 0.250, 0.375)
Cd (0.125, 0.375, 0.750)
Cd (0.250, 0.375, 0.125)
Cd (0.250, 0.875, 0.625)
Cd (0.375, 0.125, 0.250)
Cd (0.375, 0.750, 0.125)
Cd (0.625, 0.250, 0.875)
Cd (0.625, 0.875, 0.750)
Cd (0.750, 0.125, 0.375)
Cd (0.750, 0.625, 0.875)
Cd (0.875, 0.625, 0.250)
Cd (0.875, 0.750, 0.625)
Hg (0.070, 0.641, 0.403)
Hg (0.070, 0.929, 0.667)
Hg (0.071, 0.238, 0.141)
Hg (0.071, 0.333, 0.930)
Hg (0.097, 0.738, 0.667)
Hg (0.097, 0.859, 0.430)
Hg (0.141, 0.071, 0.238)
Hg (0.141, 0.570, 0.903)
Hg (0.167, 0.238, 0.597)
Hg (0.167, 0.429, 0.570)
Hg (0.238, 0.141, 0.071)
Hg (0.238, 0.597, 0.167)
Hg (0.262, 0.333, 0.903)
Hg (0.262, 0.429, 0.359)
Hg (0.333, 0.903, 0.262)
Hg (0.333, 0.930, 0.071)
Hg (0.359, 0.262, 0.429)
Hg (0.359, 0.597, 0.930)
Hg (0.403, 0.070, 0.641)
Hg (0.403, 0.833, 0.762)
Hg (0.429, 0.359, 0.262)
Hg (0.429, 0.570, 0.167)
Hg (0.430, 0.097, 0.859)
Hg (0.430, 0.833, 0.571)
Hg (0.570, 0.167, 0.429)
Hg (0.570, 0.903, 0.141)
Hg (0.571, 0.430, 0.833)
Hg (0.571, 0.641, 0.738)
Hg (0.597, 0.167, 0.238)
Hg (0.597, 0.930, 0.359)
Hg (0.641, 0.403, 0.070)
Hg (0.641, 0.738, 0.571)
Hg (0.667, 0.070, 0.929)
Hg (0.667, 0.097, 0.738)
Hg (0.738, 0.571, 0.641)
Hg (0.738, 0.667, 0.097)
Hg (0.762, 0.403, 0.833)
Hg (0.762, 0.859, 0.929)
Hg (0.833, 0.571, 0.430)
Hg (0.833, 0.762, 0.403)
Hg (0.859, 0.430, 0.097)
Hg (0.859, 0.929, 0.762)
Hg (0.903, 0.141, 0.570)
Hg (0.903, 0.262, 0.333)
Hg (0.929, 0.667, 0.070)
Hg (0.929, 0.762, 0.859)
Hg (0.930, 0.071, 0.333)
Hg (0.930, 0.359, 0.597)
Pb (0.000, 0.000, 0.000)
Pb (0.000, 0.000, 0.500)
Pb (0.000, 0.500, 0.000)
Pb (0.000, 0.500, 0.500)
Pb (0.125, 0.750, 0.875)
Pb (0.125, 0.875, 0.250)
Pb (0.250, 0.125, 0.875)
Pb (0.250, 0.625, 0.375)
Pb (0.375, 0.250, 0.625)
Pb (0.375, 0.625, 0.750)
Pb (0.500, 0.000, 0.000)
Pb (0.500, 0.000, 0.500)
Pb (0.500, 0.500, 0.000)
Pb (0.500, 0.500, 0.500)
Pb (0.625, 0.375, 0.250)
Pb (0.625, 0.750, 0.375)
Pb (0.750, 0.375, 0.625)
Pb (0.750, 0.875, 0.125)
Pb (0.875, 0.125, 0.750)
Pb (0.875, 0.250, 0.125)